{"formula": "CdFeAs2O8", "functional": "PBE with a Hubbard U", "state": "relaxed", "dos_ef_per_ev_cell": 9.3, "magnetic_moment_mub_per_atom": 0.3288, "dft_energy_ev_per_atom": -5.627, "space_group": "No. 119", "lattice": [[-3.460, 3.460, 3.126], [3.460, -3.460, 3.126], [3.460, 3.460, -3.126]], "species": ["Cd", "Fe", "As", "As", "O", "O", "O", "O", "O", "O", "O", "O"], "frac_coords": [[0.000, 0.000, 0.000], [0.750, 0.250, 0.500], [0.250, 0.750, 0.500], [0.500, 0.500, 0.000], [0.055, 0.379, 0.324], [0.055, 0.732, 0.676], [0.132, 0.325, 0.807], [0.268, 0.945, 0.324], [0.519, 0.325, 0.193], [0.621, 0.945, 0.676], [0.675, 0.481, 0.807], [0.675, 0.868, 0.193]]}